5
Lattice="5.9228 0.0000 0.0000 0.0000 5.9228 0.0000 0.0000 0.0000 5.9190" Properties=species:S:1:pos:R:3 comment="LaHSe2Br | Alexandria via LeMat-Bulk | PBE-GGA | relaxed" e_tot_ev_per_atom=-3.611 magnetic_moment_mub_per_atom=0.596 space_group="P4/mmm (123)" pbc="T T T"
La 0.0000 0.0000 0.0000
H 2.9614 2.9614 2.9595
Se 0.0000 2.9614 0.0000
Se 2.9614 0.0000 0.0000
Br 0.0000 0.0000 2.9595


5
Lattice="5.8990 0.0000 0.0000 0.0000 5.8990 0.0000 0.0000 0.0000 5.9400" Properties=species:S:1:pos:R:3 comment="LaHSeBr2 | Alexandria via LeMat-Bulk | PBE-GGA | relaxed" e_tot_ev_per_atom=-3.653 magnetic_moment_mub_per_atom=0.400 space_group="P4/mmm (123)" pbc="T T T"
La 0.0000 0.0000 0.0000
H 2.9495 2.9495 2.9700
Se 0.0000 0.0000 2.9700
Br 0.0000 2.9495 0.0000
Br 2.9495 0.0000 0.0000


12
Lattice="3.6702 -6.3341 0.0000 3.6702 6.3341 0.0000 -2.4812 0.0000 7.3523" Properties=species:S:1:pos:R:3 comment="La6Si2HBr3 | Alexandria via LeMat-Bulk | PBE-GGA | relaxed" e_tot_ev_per_atom=-5.069 magnetic_moment_mub_per_atom=0.075 space_group="C2/m (12)" pbc="T T T"
La 1.1908 2.0784 1.5709
La -0.0362 0.0000 5.7061
La 1.1908 -2.0784 1.5709
La 3.6683 2.0784 5.7813
La 4.8953 0.0000 1.6461
La 3.6683 -2.0784 5.7813
Si 3.6702 2.0898 0.0000
Si 3.6702 -2.0898 0.0000
H 0.0000 0.0000 0.0000
Br 2.4296 4.0909 3.6761
Br 2.4296 0.0000 3.6761
Br 2.4296 -4.0909 3.6761


15
Lattice="4.2994 2.4823 7.1923 -4.2994 2.4823 7.1923 0.0000 -4.9645 7.1923" Properties=species:S:1:pos:R:3 comment="La8Si3HBr3 | Alexandria via LeMat-Bulk | PBE-GGA | relaxed" e_tot_ev_per_atom=-5.135 magnetic_moment_mub_per_atom=0.000 space_group="R-3m (166)" pbc="T T T"
La -2.2032 -1.2720 12.4172
La 0.0000 0.0000 5.2171
La 0.0000 -2.5440 9.1597
La -2.2032 1.2720 9.1597
La 2.2031 -1.2720 12.4172
La 0.0000 2.5440 12.4172
La 0.0000 0.0000 16.3597
La 2.2031 1.2720 9.1597
Si -4.2994 0.0000 10.7884
Si -2.1497 1.2411 3.5961
Si 2.1497 1.2411 3.5961
H 0.0000 0.0000 10.7884
Br -2.1497 -1.2411 7.1923
Br -2.1497 1.2411 14.3845
Br 0.0000 2.4823 7.1923


16
Lattice="4.2802 2.4712 7.3542 -4.2802 2.4712 7.3542 0.0000 -4.9424 7.3542" Properties=species:S:1:pos:R:3 comment="La8Si3HBr4 | Alexandria via LeMat-Bulk | PBE-GGA | relaxed" e_tot_ev_per_atom=-5.145 magnetic_moment_mub_per_atom=0.002 space_group="R-3m (166)" pbc="T T T"
La -2.1415 -1.2364 12.6194
La 0.0000 0.0000 5.2952
La 0.0000 -2.4728 9.4432
La -2.1415 1.2364 9.4432
La 2.1415 -1.2364 12.6195
La 0.0000 2.4728 12.6195
La 0.0000 0.0000 16.7674
La 2.1415 1.2364 9.4432
Si -4.2802 0.0000 11.0313
Si -2.1401 1.2356 3.6771
Si 2.1401 1.2356 3.6771
H 0.0000 0.0000 11.0313
Br 0.0000 0.0000 0.0000
Br -2.1401 -1.2356 7.3542
Br -2.1401 1.2356 14.7084
Br 0.0000 2.4712 7.3542


8
Lattice="7.1317 0.0000 0.0000 0.0000 4.1474 0.0000 -2.2505 0.0000 7.4729" Properties=species:S:1:pos:R:3 comment="La4SiHBr2 | Alexandria via LeMat-Bulk | PBE-GGA | relaxed" e_tot_ev_per_atom=-4.917 magnetic_moment_mub_per_atom=0.011 space_group="P2/m (10)" pbc="T T T"
La 1.1619 0.0000 1.5960
La -0.0455 2.0737 5.9378
La 4.9268 2.0737 1.5351
La 3.7194 0.0000 5.8769
Si 3.5659 0.0000 0.0000
H 0.0000 2.0737 0.0000
Br -1.1252 0.0000 3.7365
Br 2.4406 2.0737 3.7365


12
Lattice="3.5196 -6.0945 0.0000 3.5196 6.0945 0.0000 -2.3537 0.0000 8.0079" Properties=species:S:1:pos:R:3 comment="La6Tc2HBr3 | Alexandria via LeMat-Bulk | PBE-GGA | relaxed" e_tot_ev_per_atom=-5.645 magnetic_moment_mub_per_atom=0.000 space_group="C2/m (12)" pbc="T T T"
La -0.0160 2.0452 6.4285
La 1.1503 0.0000 1.6000
La -0.0160 -2.0452 6.4285
La 4.7015 2.0452 1.5794
La 3.5352 0.0000 6.4078
La 4.7015 -2.0452 1.5794
Tc 3.5196 4.0821 0.0000
Tc 3.5196 -4.0821 0.0000
H 3.5196 0.0000 0.0000
Br -1.1768 0.0000 4.0039
Br 2.3428 2.1143 4.0039
Br 2.3428 -2.1143 4.0039


16
Lattice="7.1515 -4.1227 0.0000 7.1515 4.1227 0.0000 -4.7779 0.0000 7.9429" Properties=species:S:1:pos:R:3 comment="La8Tc3HBr4 | Alexandria via LeMat-Bulk | PBE-GGA | relaxed" e_tot_ev_per_atom=-5.723 magnetic_moment_mub_per_atom=0.000 space_group="C2/m (12)" pbc="T T T"
La 3.5398 2.1091 5.5113
La -0.0086 0.0000 5.6133
La 2.3271 0.0000 2.4307
La 5.9854 2.1091 2.4316
La 3.5398 -2.1091 5.5113
La 7.1981 0.0000 5.5122
La 9.5338 0.0000 2.3296
La 5.9854 -2.1091 2.4316
Tc -2.3889 0.0000 3.9714
Tc 1.1868 2.0613 3.9714
Tc 1.1868 -2.0613 3.9714
H 4.7626 0.0000 3.9714
Br 0.0000 0.0000 0.0000
Br 3.5758 2.0613 0.0000
Br 3.5758 -2.0613 0.0000
Br 7.1515 0.0000 0.0000